[1]
LaZnIr2, relaxed, DFT PBE; energy relative to the elements = -0.044 eV per atom; DFT total energy = -24.101 eV for the cell shown; space group = C2/m, No. 12
1.0
5.3417 0.0008 0.0024
-2.6098 4.7961 0.0023
0.1222 0.9261 2.8366
Ir La Zn
2 1 1
Cartesian
0.0000 0.0000 0.0000
2.7319 0.4634 1.4195
-1.2438 2.8611 1.4195
1.3660 2.3984 0.0024

---

[2]
LaZn4Ir, relaxed, DFT PBE; offset from the most stable computed form = 0.030 eV per atom; energy relative to the elements = -0.270 eV per atom; DFT total energy = -41.014 eV for the cell shown; space group = Cmcm, No. 63
1.0
-2.2498 2.4942 -3.5173
-5.1458 -4.5954 0.0328
-2.1620 2.4673 6.4951
La Zn Ir
2 8 2
Cartesian
-6.4188 -0.5542 3.7128
-3.1388 0.9203 -0.7022
-3.6459 -0.3222 2.1036
-5.9117 0.6884 0.9070
-1.8272 1.3019 2.0920
-7.7304 -0.9358 0.9186
-5.7013 -1.3891 -0.7009
-3.8563 1.7553 3.7114
-2.5729 -2.2977 0.0164
0.0000 0.0000 0.0000
-4.7467 -2.4438 1.3033
-4.8109 2.8099 1.7073

---

[3]
LaZn2Ir, relaxed, DFT PBE; energy relative to the elements = -0.444 eV per atom; DFT total energy = -18.112 eV for the cell shown; space group = Cm, No. 8
1.0
4.4307 -0.0347 -0.0164
2.2663 3.8074 -0.0164
2.2702 1.2789 4.9827
Zn Ir La
2 1 1
Cartesian
6.6988 3.7737 0.6178
2.2448 1.2646 1.5278
4.4715 2.5190 1.6279
6.7327 3.7928 3.6187

---

[4]
LaZnIr2, relaxed, DFT PBE; energy relative to the elements = -0.140 eV per atom; DFT total energy = -24.485 eV for the cell shown; space group = P2/m, No. 10
1.0
-2.6490 1.2693 -3.2839
-2.2390 0.3765 1.9516
0.8405 5.5026 1.4489
Ir La Zn
2 1 1
Cartesian
-1.2921 5.5789 3.1986
-0.8055 3.2398 1.9020
-1.6741 2.1044 -0.7918
-2.3733 5.0440 0.9084

---

[5]
La2ZnIr, relaxed, DFT PBE; energy relative to the elements = -0.338 eV per atom; DFT total energy = -21.341 eV for the cell shown; space group = I-4m2, No. 119
1.0
-3.2277 -3.2426 -1.9629
0.1431 -2.7087 4.1747
-1.1287 4.8448 0.1984
Ir La Zn
1 2 1
Cartesian
-2.9494 -0.6867 -0.3293
0.0000 0.0000 0.0000
-1.2640 -0.4198 2.7395
-1.5423 -2.9757 1.1059

---

[6]
LaZnIr2, relaxed, DFT PBE; energy relative to the elements = -0.277 eV per atom; DFT total energy = -25.032 eV for the cell shown; space group = P4/mmm, No. 123
1.0
-2.0213 -1.8758 -3.3537
3.8419 -0.9107 -1.8061
0.0687 -3.4024 1.8617
Ir La Zn
2 1 1
Cartesian
0.0000 0.0000 0.0000
0.9103 -1.3933 -2.5799
-0.9763 -2.6391 -0.7460
1.9553 -2.1566 0.0278

---

[7]
LaZn2Ir, relaxed, DFT PBE; energy relative to the elements = -0.192 eV per atom; DFT total energy = -17.105 eV for the cell shown; space group = P4/mmm, No. 123
1.0
-1.6739 -3.2340 1.7424
1.0027 -2.2444 -3.2022
4.3514 -1.1020 2.1350
Ir La Zn
1 1 2
Cartesian
1.3387 -2.1680 1.9387
2.6771 -1.6732 -0.5336
0.0000 0.0000 0.0000
-0.3356 -2.7392 -0.7299

---

[8]
LaZn2Ir, relaxed, DFT PBE; energy relative to the elements = 0.118 eV per atom; DFT total energy = -15.866 eV for the cell shown; space group = R-3m, No. 166
1.0
-5.0224 -1.6685 8.0743
-6.4503 -3.6091 6.2105
-3.8913 -4.4611 7.6262
Ir La Zn
1 1 2
Cartesian
-3.8410 -2.4347 5.4777
-11.5230 -7.3040 16.4332
-15.1403 -9.5969 21.5918
-7.9058 -5.0112 11.2746